Density functional theory data (PBE+U) for a relaxed structure of LiCa3Cr3O8.

Structure (POSCAR):
```
LiCa3Cr3O8
1.0
6.152 0.000 0.000
-3.076 5.327 -0.019
0.000 -3.533 5.232
Li Ca Cr O
1 3 3 8
direct
0.000 0.000 0.500
0.000 0.000 0.000
0.000 0.500 0.000
0.500 0.500 0.000
0.500 0.000 0.500
0.500 0.500 0.500
0.000 0.500 0.500
0.263 0.525 0.288
0.737 0.475 0.712
0.759 0.519 0.291
0.241 0.481 0.709
0.759 0.032 0.291
0.241 0.968 0.709
0.273 0.032 0.291
0.727 0.968 0.709
```

Results
Symmetry: R-3m, No. 166
Density of states at the Fermi level (states/eV per cell): 0.0
Energy (eV/atom): -6.924